The following is a DFT calculation (meta-GGA SCAN) of a PBEsol-optimized structure of Sc4ZnFe.

It has space group F-43m (No. 216), with a = 7.7860 Å, b = 7.7860 Å, c = 7.7860 Å, α = 90.00°, β = 90.00° and γ = 90.00°. The distinct sites, in fractional coordinates, are Sc at (0.1245, 0.1245, 0.1245), Zn at (0.0000, 0.0000, 0.5000) and Fe at (0.2500, 0.2500, 0.7500).

Its final energy is -14.233 eV per atom. Its formation energy is 51 kJ/mol of atoms.